# GGA-PBE Y3BiB, optimized geometry
# DFT formation energy (eV per atom): -0.50
# N(E_F) (states/eV/atom): 0.60
# Space group: Pm-3m
# V (A^3/atom): 25.818
# Crystal system: cubic
# Total magnetization (Bohr magnetons per cell): 0.00
data_Y3BiB
_cell_length_a 5.0540
_cell_length_b 5.0540
_cell_length_c 5.0540
_cell_angle_alpha 90.00
_cell_angle_beta 90.00
_cell_angle_gamma 90.00
_space_group_name_H-M_alt 'P 1'
_space_group_IT_number 1
loop_
_space_group_symop_operation_xyz
'x,y,z'
loop_
_atom_site_label
_atom_site_type_symbol
_atom_site_fract_x
_atom_site_fract_y
_atom_site_fract_z
Y1 Y 0.0000 0.0000 0.5000
Y2 Y 0.0000 0.5000 0.0000
Y3 Y 0.5000 0.0000 0.0000
Bi1 Bi 0.5000 0.5000 0.5000
B1 B 0.0000 0.0000 0.0000